No. 1
An optimized crystal structure of CaHgPdS2. Source: the Alexandria database, functional PBE-GGA.

a = 4.9799 Å, b = 5.6327 Å, c = 4.9799 Å
α = 90.00°, β = 90.00°, γ = 90.00°
Fractional coordinates of all 5 atoms:
Ca (0.0000, 0.5000, 0.0000)
Hg (0.0000, 0.0000, 0.0000)
S (0.5000, 0.0000, 0.0000)
Pd (0.5000, 0.5000, 0.5000)
S (0.0000, 0.0000, 0.5000)

Output
SG: No. 123
Calculated total energy in eV per atom: -2.64
Crystal system: tetragonal

No. 2
An optimized crystal structure of Ca3Hg2SbPd8. Source: the Alexandria database, functional PBE-GGA.

a = 5.5300 Å, b = 5.5300 Å, c = 10.5764 Å
α = 90.00°, β = 90.00°, γ = 120.00°
Fractional coordinates of all 14 atoms:
Pd (0.6667, 0.3333, 0.1723)
Sb (0.0000, 0.0000, 0.5000)
Pd (0.3359, 0.1679, 0.7027)
Pd (0.6641, 0.8321, 0.2973)
Ca (0.3333, 0.6667, 0.5644)
Hg (0.6667, 0.3333, 0.9191)
Pd (0.3333, 0.6667, 0.8277)
Hg (0.3333, 0.6667, 0.0809)
Ca (0.6667, 0.3333, 0.4356)
Pd (0.1679, 0.8321, 0.2973)
Pd (0.1679, 0.3359, 0.2973)
Pd (0.8321, 0.1679, 0.7027)
Ca (0.0000, 0.0000, 0.0000)
Pd (0.8321, 0.6641, 0.7027)

Output
SG: No. 164
Calculated total energy in eV per atom: -4.22
Crystal system: trigonal

No. 3
An optimized crystal structure of CaHgPdSe2. Source: the Alexandria database, functional PBE-GGA.

a = 5.2882 Å, b = 5.0435 Å, c = 5.2882 Å
α = 90.00°, β = 90.00°, γ = 90.00°
Fractional coordinates of all 5 atoms:
Se (0.5000, 0.0000, 0.0000)
Hg (0.0000, 0.0000, 0.0000)
Ca (0.5000, 0.5000, 0.5000)
Pd (0.0000, 0.5000, 0.0000)
Se (0.0000, 0.0000, 0.5000)

Output
SG: No. 123
Calculated total energy in eV per atom: -3.01
Crystal system: tetragonal

No. 4
An optimized crystal structure of Ca2Si2HgPd5. Source: the Alexandria database, functional PBE-GGA.

a = 3.5318 Å, b = 10.1564 Å, c = 10.1564 Å
α = 90.00°, β = 90.00°, γ = 90.00°
Fractional coordinates of all 20 atoms:
Pd (0.5000, 0.2181, 0.0669)
Si (0.0000, 0.1223, 0.6223)
Pd (0.5000, 0.5669, 0.7181)
Pd (0.5000, 0.0669, 0.7819)
Pd (0.5000, 0.7819, 0.9331)
Pd (0.5000, 0.0000, 0.5000)
Ca (0.0000, 0.6759, 0.1759)
Hg (0.0000, 0.0000, 0.0000)
Pd (0.5000, 0.9331, 0.2181)
Pd (0.5000, 0.5000, 0.0000)
Pd (0.5000, 0.4331, 0.2819)
Hg (0.0000, 0.5000, 0.5000)
Ca (0.0000, 0.8241, 0.6759)
Ca (0.0000, 0.3241, 0.8241)
Ca (0.0000, 0.1759, 0.3241)
Pd (0.5000, 0.2819, 0.5669)
Si (0.0000, 0.6223, 0.8777)
Si (0.0000, 0.8777, 0.3777)
Pd (0.5000, 0.7181, 0.4331)
Si (0.0000, 0.3777, 0.1223)

Output
SG: No. 127
Calculated total energy in eV per atom: -4.78
Crystal system: tetragonal

- The lowest calculated total energy belongs to which entry?
  Ca2Si2HgPd5